Entry 1:
{
  "formula": "HgMo3",
  "functional": "PBEsol",
  "state": "optimized geometry",
  "cell": [[2.753, 0.000, 0.000], [0.000, 4.288, 0.000], [-0.782, 0.000, 5.582]],
  "species": ["Hg", "Mo", "Mo", "Mo"],
  "frac_coords": [[0.000, 0.000, 0.000], [0.000, 0.000, 0.500], [0.424, 0.500, 0.719], [0.576, 0.500, 0.281]],
  "dft_energy_ev_per_cell": -34.3,
  "polymorph_energy_kj_per_mol_atoms": 9.0,
  "dos_ef_per_ev_atom": 0.83
}

=====

Entry 2:
{
  "formula": "AsP2Pb",
  "functional": "PBEsol",
  "state": "optimized geometry",
  "cell": [[3.468, 0.000, 0.000], [0.000, 4.645, 0.000], [0.000, 0.000, 4.789]],
  "species": ["As", "P", "P", "Pb"],
  "frac_coords": [[0.000, 0.000, 0.000], [0.000, 0.500, 0.500], [0.500, 0.500, 0.000], [0.500, 0.000, 0.500]],
  "dft_energy_ev_per_cell": -18.4,
  "polymorph_energy_kj_per_mol_atoms": 36.9,
  "dos_ef_per_ev_atom": 0.47
}

=====

Entry 3:
{
  "formula": "Y2AlP",
  "functional": "PBEsol",
  "state": "optimized geometry",
  "cell": [[-2.051, 2.051, 5.152], [2.051, -2.051, 5.152], [2.051, 2.051, -5.152]],
  "species": ["Y", "Y", "Al", "P"],
  "frac_coords": [[0.000, 0.000, 0.000], [0.750, 0.250, 0.500], [0.500, 0.500, 0.000], [0.250, 0.750, 0.500]],
  "dft_energy_ev_per_cell": -26.1,
  "polymorph_energy_kj_per_mol_atoms": 0.0,
  "dos_ef_per_ev_atom": 0.71
}